A relaxed structure of NpAgSb2, computed with PBE.

Calculated values
DOS(E_F)	9.54	states/eV/cell
calculated total energy	-5.948	eV/atom
E_form (uncorrected)	0.0609	eV per atom
spin magnetization	1.07	μB per atom

Cell: 3.8941 3.8941 6.5133 Å, 90.00 90.00 90.00°
Closest atoms and distances in Å follow each position.
Space group P4/mmm (No. 123)
Symmetry-distinct sites (fractional):
Np 0.0000 0.0000 0.0000 [1 per cell]  8 Sb 3.23, 2 Ag 3.26
Ag 0.0000 0.0000 0.5000 [1 per cell]  8 Sb 3.16, 2 Np 3.26
Sb 0.5000 0.5000 0.2607 [2 per cell]  2 Sb 3.12-3.40, 4 Ag 3.16, 4 Np 3.23

---

A relaxed structure of MgTlPt2, computed with PBE.

Calculated values
DOS(E_F)	1.55	states/eV/cell
calculated total energy	-4.393	eV/atom
energy of formation from the pure elements	-0.38	eV/atom
spin magnetization	0.00	μB per atom

Cell: 2.9895 3.7400 6.3902 Å, 90.00 90.00 90.00°
Closest atoms and distances in Å follow each position.
Space group Pmmm (No. 47)
Symmetry-distinct sites (fractional):
Mg 0.0000 0.0000 0.0000 [1 per cell]  8 Pt 2.79, 2 Mg 2.99
Tl 0.0000 0.0000 0.5000 [1 per cell]  8 Pt 2.98, 2 Tl 2.99, 2 Mg 3.20
Pt 0.5000 0.5000 0.2232 [2 per cell]  4 Mg 2.79, 3 Pt 2.85-2.99, 4 Tl 2.98

---

A relaxed structure of NdMgSi, computed with PBE.

Calculated values
DOS(E_F)	2.46	states/eV/cell
calculated total energy	-4.339	eV/atom
E_form (uncorrected)	-0.4107	eV per atom
spin magnetization	0.00	μB per atom

Cell: 4.4552 4.4552 4.1904 Å, 90.00 90.00 120.00°
Closest atoms and distances in Å follow each position.
Space group P3m1 (No. 156)
Symmetry-distinct sites (fractional):
Nd 0.0000 0.0000 0.0000 [1 per cell]  6 Si 3.31-3.32, 6 Mg 3.32
Mg 0.6667 0.3333 0.4996 [1 per cell]  3 Si 2.57
Si 0.3333 0.6667 0.5011 [1 per cell]  3 Mg 2.57

---

A relaxed structure of PuZrAs2, computed with PBE.

Calculated values
DOS(E_F)	17.83	states/eV/cell
calculated total energy	-8.749	eV/atom
energy above the lowest structure with this stoichiometry	0.4229	eV per atom
energy of formation from the pure elements	-0.70	eV/atom
spin magnetization	0.18	μB per atom

Cell: 3.9424 21.3299 3.8788 Å, 90.00 90.00 90.00°
Closest atoms and distances in Å follow each position.
Space group Cmcm (No. 63)
Symmetry-distinct sites (fractional):
Pu 0.0000 0.0327 0.2500 [4 per cell]  2 Pu 2.39
Zr 0.0000 0.3055 0.2500 [4 per cell]  6 As 2.71-2.79
As 0.0000 0.1763 0.2500 [4 per cell]  5 Zr 2.76-2.79, 1 Pu 3.06
As 0.0000 0.4326 0.2500 [4 per cell]  1 Zr 2.71, 6 Pu 2.86-2.91

---

A relaxed structure of MgAl2As, computed with PBE.

Calculated values
DOS(E_F)	2.74	states/eV/cell
calculated total energy	-3.502	eV/atom
energy above the lowest structure with this stoichiometry	0.0000	eV per atom
energy of formation from the pure elements	-0.07	eV/atom
spin magnetization	0.00	μB per atom

Cell: 3.5580 4.1093 10.5171 Å, 90.00 90.00 90.00°
Closest atoms and distances in Å follow each position.
Space group Immm (No. 71)
Symmetry-distinct sites (fractional):
Mg 0.0000 0.0000 0.0000 [2 per cell]  4 As 2.72, 4 Al 3.02
Al 0.0000 0.5000 0.2098 [4 per cell]  2 As 2.83, 4 Al 2.85, 2 Mg 3.02
As 0.0000 0.0000 0.5000 [2 per cell]  4 Mg 2.72, 4 Al 2.83

---

A relaxed structure of V6Si2N, computed with PBE.

Calculated values
DOS(E_F)	13.96	states/eV/cell
calculated total energy	-8.743	eV/atom
E_form (uncorrected)	-0.5334	eV per atom
spin magnetization	0.00	μB per atom

Cell: 2.9906 10.9634 6.6240 Å, 90.00 90.00 90.00°
Closest atoms and distances in Å follow each position.
Space group Amm2 (No. 38)
Symmetry-distinct sites (fractional):
V 0.0000 0.0000 0.0000 [2 per cell]  2 N 2.04
V 0.0000 0.1094 0.6311 [4 per cell]  2 N 2.18, 1 V 2.40
V 0.5000 0.0000 0.3378 [2 per cell]  4 Si 2.48, 6 V 2.69-2.73
V 0.5000 0.1897 0.9432 [4 per cell]  1 N 2.32, 4 Si 2.48-2.54, 2 V 2.59
Si 0.0000 0.1724 0.2514 [4 per cell]  9 V 2.48-2.61
N 0.5000 0.0000 0.7894 [2 per cell]  6 V 2.04-2.18

---

A relaxed structure of KMgCu2Cl6, computed with PBE.

Calculated values
DOS(E_F)	23.52	states/eV/cell
calculated total energy	-3.350	eV/atom
E_form (uncorrected)	-1.1540	eV per atom
spin magnetization	0.10	μB per atom

Cell: 13.6001 12.1166 7.8245 Å, 90.00 115.20 90.00°
Closest atoms and distances in Å follow each position.
Space group C2/c (No. 15)
Symmetry-distinct sites (fractional):
K 0.0000 0.1545 0.2500 [4 per cell]  6 Cl 3.08-3.30
Mg 0.0000 0.1908 0.7500 [4 per cell]  4 Cl 2.33-2.38
Cu 0.1917 0.4465 0.1768 [8 per cell]  4 Cl 2.25-2.39
Cl 0.1111 0.2768 0.0339 [8 per cell]  1 Mg 2.33, 1 Cu 2.37
Cl 0.1144 0.0697 0.6761 [8 per cell]  1 Mg 2.38, 1 Cu 2.39
Cl 0.1559 0.4359 0.4348 [8 per cell]  2 Cu 2.25-2.27

---

A relaxed structure of Sn7Cl12F, computed with PBE.

Calculated values
DOS(E_F)	13.53	states/eV/cell
calculated total energy	-3.577	eV/atom
E_form (uncorrected)	-0.9744	eV per atom
spin magnetization	0.00	μB per atom

Cell: 15.0813 15.0813 10.4025 Å, 90.00 90.00 120.00°
Closest atoms and distances in Å follow each position.
Space group R-3 (No. 148, hexagonal axes)
Symmetry-distinct sites (fractional):
Sn 0.0000 0.0000 0.0000 [3 per cell]  6 Cl 2.88
Sn 0.0496 0.1804 0.3438 [18 per cell]  3 Cl 2.70-2.82, 1 F 2.93
Cl 0.0257 0.1573 0.8214 [18 per cell]  2 Sn 2.71-2.88
Cl 0.0279 0.5907 0.1273 [18 per cell]  2 Sn 2.70-2.82
F 0.0000 0.0000 0.5000 [3 per cell]  6 Sn 2.93

---

A relaxed structure of PtBrCl2, computed with PBE.

Calculated values
DOS(E_F)	10.47	states/eV/cell
calculated total energy	-2.922	eV/atom
E_form (uncorrected)	-0.0703	eV per atom
energy above the lowest structure with this stoichiometry	0.2107	eV per atom
spin magnetization	0.06	μB per atom

Cell: 3.2626 8.1115 10.0728 Å, 90.00 90.00 90.00°
Closest atoms and distances in Å follow each position.
Space group Cmmm (No. 65)
Symmetry-distinct sites (fractional):
Pt 0.0000 0.0000 0.0000 [2 per cell]  4 Cl 2.30
Br 0.0000 0.0000 0.5000 [2 per cell]  2 Br 3.26
Cl 0.0000 0.5000 0.1613 [4 per cell]  2 Pt 2.30

---

A relaxed structure of LaDyTmZn, computed with PBE.

Calculated values
DOS(E_F)	19.33	states/eV/cell
calculated total energy	-3.801	eV/atom
energy above the lowest structure with this stoichiometry	0.1747	eV per atom
energy of formation from the pure elements	0.02	eV/atom
spin magnetization	0.00	μB per atom

Cell: 7.6523 7.6523 7.6523 Å, 90.00 90.00 90.00°
Closest atoms and distances in Å follow each position.
Space group F-43m (No. 216)
Symmetry-distinct sites (fractional):
La 0.0000 0.0000 0.0000 [4 per cell]  4 Tm 3.31, 4 Zn 3.31
Dy 0.0000 0.0000 0.5000 [4 per cell]  4 Zn 3.31, 4 Tm 3.31
Tm 0.2500 0.2500 0.2500 [4 per cell]  4 La 3.31, 4 Dy 3.31
Zn 0.2500 0.2500 0.7500 [4 per cell]  4 La 3.31, 4 Dy 3.31

---

A relaxed structure of SmDy3, computed with PBE.

Calculated values
DOS(E_F)	10.20	states/eV/cell
calculated total energy	-4.616	eV/atom
energy above the lowest structure with this stoichiometry	0.0029	eV per atom
energy of formation from the pure elements	0.02	eV/atom
spin magnetization	0.00	μB per atom

Cell: 5.0348 5.0348 10.0850 Å, 90.00 90.00 90.00°
Closest atoms and distances in Å follow each position.
Space group I4/mmm (No. 139)
Symmetry-distinct sites (fractional):
Sm 0.0000 0.0000 0.0000 [2 per cell]  12 Dy 3.56
Dy 0.0000 0.0000 0.5000 [2 per cell]  4 Sm 3.56, 8 Dy 3.56
Dy 0.0000 0.5000 0.2500 [4 per cell]  8 Dy 3.56, 4 Sm 3.56

---

A relaxed structure of PmFeCoAs2, computed with PBE.

Calculated values
DOS(E_F)	6.46	states/eV/cell
calculated total energy	-6.595	eV/atom
energy of formation from the pure elements	-0.67	eV/atom
spin magnetization	0.00	μB per atom

Cell: 3.8984 3.8984 11.0291 Å, 90.00 90.00 90.00°
Closest atoms and distances in Å follow each position.
Space group I-4m2 (No. 119)
Symmetry-distinct sites (fractional):
Pm 0.0000 0.0000 0.0000 [2 per cell]  8 As 3.14, 4 Fe 3.38, 4 Co 3.38
Fe 0.0000 0.5000 0.2500 [2 per cell]  4 As 2.32
Co 0.0000 0.5000 0.7500 [2 per cell]  4 As 2.32
As 0.0000 0.0000 0.3639 [4 per cell]  2 Fe 2.32, 2 Co 2.32